1.
The following is a PBE calculation of an optimized crystal structure of LaTb6Th8, from Alexandria via LeMat-Bulk.

a b c (Å): 8.8216 8.8216 8.8216
angles (deg): 60.25 60.25 60.25
Element x y z (fractional)
1 La 0.0000 0.0000 0.0000
2 Tb 0.0675 0.5306 0.2744
3 Tb 0.2744 0.0675 0.5306
4 Tb 0.4694 0.7256 0.9325
5 Tb 0.5306 0.2744 0.0675
6 Tb 0.7256 0.9325 0.4694
7 Tb 0.9325 0.4694 0.7256
8 Th 0.1219 0.6633 0.8076
9 Th 0.1924 0.8781 0.3367
10 Th 0.3367 0.1924 0.8781
11 Th 0.4227 0.4227 0.4227
12 Th 0.5773 0.5773 0.5773
13 Th 0.6633 0.8076 0.1219
14 Th 0.8076 0.1219 0.6633
15 Th 0.8781 0.3367 0.1924

For the total moment, the calculation gives 0.00 μB per cell. The calculation puts the uncorrected energy at -6.003 eV per atom. The formation energy is 0.14 eV per atom.

2.
The following is a PBE calculation of an optimized crystal structure of InCo2Os, from Alexandria via LeMat-Bulk.

a b c (Å): 2.7564 3.5589 5.6554
angles (deg): 90.00 90.00 90.00
Element x y z (fractional)
1 In 0.0000 0.0000 0.0000
2 Co 0.5000 0.5000 0.2851
3 Co 0.5000 0.5000 0.7149
4 Os 0.0000 0.0000 0.5000

For the total moment, the calculation gives 0.00 μB per cell. The calculation puts the uncorrected energy at -6.788 eV per atom. The formation energy is 0.26 eV per atom.

3.
The following is a PBE calculation of an optimized crystal structure of EuGdYEr, from Alexandria via LeMat-Bulk.

a b c (Å): 5.7465 5.7465 5.7465
angles (deg): 60.00 60.00 60.00
Element x y z (fractional)
1 Eu 0.0000 0.0000 0.0000
2 Gd 0.5000 0.5000 0.5000
3 Y 0.2500 0.2500 0.2500
4 Er 0.7500 0.7500 0.7500

For the total moment, the calculation gives 0.75 μB per cell. The calculation puts the uncorrected energy at -8.698 eV per atom. The formation energy is 0.15 eV per atom.

4.
The following is a PBE calculation of an optimized crystal structure of DyTmCrCd, from Alexandria via LeMat-Bulk.

a b c (Å): 5.1483 5.1483 5.1483
angles (deg): 60.00 60.00 60.00
Element x y z (fractional)
1 Dy 0.0000 0.0000 0.0000
2 Tm 0.5000 0.5000 0.5000
3 Cr 0.2500 0.2500 0.2500
4 Cd 0.7500 0.7500 0.7500

For the total moment, the calculation gives 3.56 μB per cell. The calculation puts the uncorrected energy at -4.874 eV per atom. The formation energy is 0.03 eV per atom.

5.
The following is a PBE calculation of an optimized crystal structure of CsSr2RhBr, from Alexandria via LeMat-Bulk.

a b c (Å): 5.5735 5.5735 7.8836
angles (deg): 90.00 90.00 90.00
Element x y z (fractional)
1 Cs 0.0000 0.0000 0.0000
2 Sr 0.0000 0.5000 0.5000
3 Sr 0.5000 0.0000 0.5000
4 Rh 0.5000 0.5000 0.5000
5 Br 0.5000 0.5000 0.0000

For the total moment, the calculation gives 0.00 μB per cell. The calculation puts the uncorrected energy at -2.924 eV per atom.

6.
The following is a PBE calculation of an optimized crystal structure of CaMg2ZnPd, from Alexandria via LeMat-Bulk.

a b c (Å): 4.9884 4.9884 4.9489
angles (deg): 90.00 90.00 90.00
Element x y z (fractional)
1 Ca 0.0000 0.0000 0.0000
2 Mg 0.0000 0.5000 0.5000
3 Mg 0.5000 0.0000 0.5000
4 Zn 0.5000 0.5000 0.0000
5 Pd 0.5000 0.5000 0.5000

For the total moment, the calculation gives 0.00 μB per cell. The calculation puts the uncorrected energy at -2.571 eV per atom. The formation energy is -0.24 eV per atom.

- Which formula does entry 1 have?
  LaTb6Th8